Density functional theory data (PBE) for an optimized crystal structure of Tl7Sn2Pb2.

```
11
Lattice="4.6207 -4.8851 0.0000 4.6207 4.8851 0.0000 -1.9581 0.0000 7.7240" Properties=species:S:1:pos:R:3 pbc="T T T"
Tl 0.0000 0.0000 0.0000
Tl 1.2586 2.1850 6.3004
Tl 1.9286 0.0000 3.8230
Tl 6.0248 2.1850 1.4237
Tl 1.2586 -2.1850 6.3004
Tl 5.3547 0.0000 3.9010
Tl 6.0248 -2.1850 1.4237
Sn 3.4404 0.0000 1.0062
Sn 3.8429 0.0000 6.7178
Pb 3.6417 3.1801 3.8620
Pb 3.6417 -3.1801 3.8620
```

Summary:
Calculated formation energy, meV/atom: 71.9
SG: C2/m (12)
Raw total energy, eV per atom: -2.836
Fermi-level density of states, states/eV/atom: 0.47
Polymorph energy (0 for the lowest one), kJ/mol of formula units: 44